## Pt3Rh (PBE)

Data for a geometry-optimized Pt3Rh structure.

```
Pt3Rh
1.0
3.9403 0.0000 0.0000
0.0000 3.9403 0.0000
0.0000 0.0000 3.9403
Rh Pt
1 3
Direct
0.5000 0.5000 0.0000 Rh
0.0000 0.0000 0.0000 Pt
0.0000 0.5000 0.5000 Pt
0.5000 0.0000 0.5000 Pt
```

Calculated values
* energy: -0.2348 hartree per atom
* calculated formation energy: -0.022 eV per atom